Li4V3OF11 after structural relaxation. Source: the Alexandria database, functional GGA+U.

excess energy over the best structure of this formula in the dataset = 0.009 eV per atom
DFT total energy = -5.741 eV/atom

Unit cell a=5.227 b=5.486 c=16.290 alpha=80.60 beta=89.49 gamma=88.54
Atoms (fractional coordinates):
F: 0.163 0.173 0.317
F: 0.134 0.833 0.453
F: 0.866 0.167 0.547
F: 0.072 0.466 0.118
F: 0.194 0.486 0.623
F: 0.404 0.630 0.778
F: 0.303 0.658 0.309
F: 0.314 0.320 0.980
F: 0.637 0.650 0.550
F: 0.807 0.181 0.037
F: 0.928 0.534 0.882
F: 0.193 0.819 0.963
F: 0.917 0.877 0.220
F: 0.363 0.350 0.450
F: 0.837 0.827 0.683
F: 0.596 0.370 0.222
F: 0.393 0.942 0.114
F: 0.607 0.058 0.886
F: 0.806 0.514 0.377
F: 0.697 0.342 0.691
F: 0.686 0.680 0.020
F: 0.083 0.123 0.780
Li: 0.223 0.690 0.182
Li: 0.182 0.806 0.842
Li: 0.777 0.310 0.818
Li: 0.014 0.230 0.438
Li: 0.510 0.266 0.560
Li: 0.490 0.734 0.440
Li: 0.986 0.770 0.562
Li: 0.818 0.194 0.158
O: 0.319 0.987 0.626
O: 0.681 0.013 0.374
V: 0.507 0.318 0.337
V: 0.000 0.500 0.000
V: 0.493 0.682 0.663
V: 0.500 0.000 0.000
V: 0.024 0.150 0.662
V: 0.976 0.850 0.338